Density functional theory data (PBE) for a relaxed structure of SmTmRuPb.

The structure in CIF format:
```
data_SmTmRuPb
_cell_length_a 7.270
_cell_length_b 7.270
_cell_length_c 7.270
_cell_angle_alpha 90.00
_cell_angle_beta 90.00
_cell_angle_gamma 90.00
_space_group_name_H-M_alt 'F -4 3 m'
_space_group_IT_number 216
_space_group_name_Hall 'F -4 2 3'
loop_
_atom_site_label
_atom_site_type_symbol
_atom_site_fract_x
_atom_site_fract_y
_atom_site_fract_z
Sm1 Sm 0.000 0.000 0.000
Tm1 Tm 0.000 0.000 0.500
Ru1 Ru 0.250 0.250 0.250
Pb1 Pb 0.250 0.250 0.750
```

Summary:
The energy above the most stable polymorph in this dataset comes out at 213.8 meV per atom. The energy of formation from the pure elements comes out at -0.24 eV/atom. As for the spin magnetization: 0.0 μB per cell.